# 1
Material: Ca2ZnSb2Rh5
Method: DFT, PBE-GGA
State: relaxed

E_form (uncorrected)   -0.446 eV/atom
Magnetization   0.00 μB per cell
Electronic total energy   -5.474 eV/atom
Symmetry   P4/mbm (127)

Lattice parameters (Å, degrees): 10.1482 10.1482 3.6228 90.00 90.00 90.00
Fractional coordinates of all 20 atoms:
Ca  0.1686  0.3314  0.0000
Ca  0.3314  0.8314  0.0000
Ca  0.6686  0.1686  0.0000
Ca  0.8314  0.6686  0.0000
Zn  0.0000  0.0000  0.0000
Zn  0.5000  0.5000  0.0000
Sb  0.1322  0.6322  0.0000
Sb  0.3678  0.1322  0.0000
Sb  0.6322  0.8678  0.0000
Sb  0.8678  0.3678  0.0000
Rh  0.0000  0.5000  0.5000
Rh  0.0636  0.8056  0.5000
Rh  0.1944  0.0636  0.5000
Rh  0.3056  0.5636  0.5000
Rh  0.4364  0.3056  0.5000
Rh  0.5000  0.0000  0.5000
Rh  0.5636  0.6944  0.5000
Rh  0.6944  0.4364  0.5000
Rh  0.8056  0.9364  0.5000
Rh  0.9364  0.1944  0.5000

# 2
Material: Ca2ZnSb3Rh4
Method: DFT, PBE-GGA
State: relaxed

E_form (uncorrected)   -0.669 eV/atom
Magnetization   0.00 μB per cell
Electronic total energy   -5.374 eV/atom
Symmetry   P-4m2 (115)

Lattice parameters (Å, degrees): 4.3371 4.3371 10.9898 90.00 90.00 90.00
Fractional coordinates of all 10 atoms:
Ca  0.0000  0.5000  0.2423
Ca  0.5000  0.0000  0.7577
Zn  0.5000  0.5000  0.0000
Sb  0.0000  0.0000  0.0000
Sb  0.0000  0.5000  0.6359
Sb  0.5000  0.0000  0.3641
Rh  0.0000  0.0000  0.5000
Rh  0.0000  0.5000  0.8693
Rh  0.5000  0.0000  0.1307
Rh  0.5000  0.5000  0.5000

# 3
Material: CaZrSbRh2
Method: DFT, PBE-GGA
State: relaxed

E_form (uncorrected)   1.083 eV/atom
Magnetization   0.00 μB per cell
Electronic total energy   -4.792 eV/atom
Symmetry   P4/mmm (123)

Lattice parameters (Å, degrees): 4.6729 4.6729 5.2898 90.00 90.00 90.00
Fractional coordinates of all 5 atoms:
Ca  0.0000  0.0000  0.0000
Zr  0.0000  0.0000  0.5000
Sb  0.5000  0.5000  0.5000
Rh  0.0000  0.5000  0.0000
Rh  0.5000  0.0000  0.0000

# 4
Material: CaScRh2
Method: DFT, PBE-GGA
State: relaxed

Magnetization   0.00 μB per cell
Electronic total energy   -5.953 eV/atom
ΔH_f (0 K)   -0.1942 eV/atom
Symmetry   F-43m (216)

Lattice parameters (Å, degrees): 4.6822 4.6822 4.6822 60.00 60.00 60.00
Fractional coordinates of all 4 atoms:
Ca  0.0000  0.0000  0.0000
Sc  0.2500  0.2500  0.2500
Rh  0.5000  0.5000  0.5000
Rh  0.7500  0.7500  0.7500

# 5
Material: CaScRh2
Method: DFT, PBE-GGA
State: relaxed

Magnetization   0.00 μB per cell
Electronic total energy   -6.162 eV/atom
ΔH_f (0 K)   -0.4033 eV/atom
Symmetry   C2/m (12)

Lattice parameters (Å, degrees): 4.2842 4.2842 6.3487 99.75 99.75 44.12
Fractional coordinates of all 4 atoms:
Ca  0.0000  0.0000  0.0000
Sc  0.5000  0.5000  0.5000
Rh  0.2415  0.2415  0.7011
Rh  0.7585  0.7585  0.2989

# 6
Material: Ca2ScRh
Method: DFT, PBE-GGA
State: relaxed

ΔE to the lowest computed polymorph   0.311 eV per atom
Magnetization   0.00 μB per cell
Electronic total energy   -4.455 eV/atom
ΔH_f (0 K)   -0.0335 eV/atom
Symmetry   F222 (22)

Lattice parameters (Å, degrees): 5.0907 5.0880 5.0735 60.13 60.08 59.79
Fractional coordinates of all 4 atoms:
Ca  0.0000  0.0000  0.0000
Ca  0.2500  0.2500  0.2500
Sc  0.5000  0.5000  0.5000
Rh  0.7500  0.7500  0.7500

# 7
Material: CaSc4Rh5
Method: DFT, PBE-GGA
State: relaxed

Magnetization   0.00 μB per cell
Electronic total energy   -7.311 eV/atom
ΔH_f (0 K)   -0.9025 eV/atom
Symmetry   P4/mmm (123)

Lattice parameters (Å, degrees): 3.2456 3.2456 16.5520 90.00 90.00 90.00
Fractional coordinates of all 10 atoms:
Ca  0.0000  0.0000  0.0000
Sc  0.0000  0.0000  0.2067
Sc  0.0000  0.0000  0.4023
Sc  0.0000  0.0000  0.5977
Sc  0.0000  0.0000  0.7933
Rh  0.5000  0.5000  0.1185
Rh  0.5000  0.5000  0.3073
Rh  0.5000  0.5000  0.5000
Rh  0.5000  0.5000  0.6927
Rh  0.5000  0.5000  0.8815

# 8
Material: Ca2ScRh
Method: DFT, PBE-GGA
State: relaxed

ΔE to the lowest computed polymorph   0.064 eV per atom
Magnetization   0.00 μB per cell
Electronic total energy   -4.702 eV/atom
ΔH_f (0 K)   -0.2801 eV/atom
Symmetry   Imm2 (44)

Lattice parameters (Å, degrees): 6.2685 6.2685 6.2685 146.48 127.04 64.15
Fractional coordinates of all 4 atoms:
Ca  0.0000  0.0000  0.0000
Ca  0.6925  0.1925  0.5000
Sc  0.3794  0.3794  0.0000
Rh  0.2173  0.7173  0.5000

# 9
Material: Ca2ScRh
Method: DFT, PBE-GGA
State: relaxed

ΔE to the lowest computed polymorph   0.068 eV per atom
Magnetization   0.00 μB per cell
Electronic total energy   -4.698 eV/atom
ΔH_f (0 K)   -0.2766 eV/atom
Symmetry   Immm (71)

Lattice parameters (Å, degrees): 8.6790 8.6790 8.6790 157.71 152.21 35.91
Fractional coordinates of all 4 atoms:
Ca  0.1585  0.1585  0.0000
Ca  0.8415  0.8415  0.0000
Sc  0.5000  0.0000  0.5000
Rh  0.0000  0.5000  0.5000

# 10
Material: CaScRh2
Method: DFT, PBE-GGA
State: relaxed

Magnetization   0.00 μB per cell
Electronic total energy   -6.210 eV/atom
ΔH_f (0 K)   -0.4505 eV/atom
Symmetry   Imm2 (44)

Lattice parameters (Å, degrees): 5.7562 5.7562 5.7562 147.10 133.56 58.08
Fractional coordinates of all 4 atoms:
Ca  0.0000  0.0000  0.0000
Sc  0.7179  0.2179  0.5000
Rh  0.2592  0.7592  0.5000
Rh  0.4960  0.4960  0.0000

# 11
Material: Ca2ScRh
Method: DFT, PBE-GGA
State: relaxed

ΔE to the lowest computed polymorph   0.380 eV per atom
Magnetization   0.00 μB per cell
Electronic total energy   -4.386 eV/atom
ΔH_f (0 K)   0.0354 eV/atom
Symmetry   P2/m (10)

Lattice parameters (Å, degrees): 3.5066 4.4419 6.4801 90.00 99.63 90.00
Fractional coordinates of all 4 atoms:
Ca  0.0867  0.0000  0.2809
Ca  0.9133  0.0000  0.7191
Sc  0.5000  0.5000  0.0000
Rh  0.5000  0.5000  0.5000

# 12
Material: Ca2ScRh
Method: DFT, PBE-GGA
State: relaxed

ΔE to the lowest computed polymorph   0.302 eV per atom
Magnetization   0.00 μB per cell
Electronic total energy   -4.464 eV/atom
ΔH_f (0 K)   -0.0422 eV/atom
Symmetry   I-42d (122)

Lattice parameters (Å, degrees): 7.6688 7.6688 7.6688 96.03 96.03 142.17
Fractional coordinates of all 8 atoms:
Ca  0.3750  0.2356  0.3606
Ca  0.7644  0.1250  0.1394
Ca  0.8750  0.0144  0.6394
Ca  0.9856  0.6250  0.8606
Sc  0.2500  0.7500  0.5000
Sc  0.5000  0.5000  0.0000
Rh  0.0000  0.0000  0.0000
Rh  0.7500  0.2500  0.5000

# 13
Material: CaScRh2
Method: DFT, PBE-GGA
State: relaxed

Magnetization   0.00 μB per cell
Electronic total energy   -5.438 eV/atom
ΔH_f (0 K)   0.3211 eV/atom
Symmetry   Immm (71)

Lattice parameters (Å, degrees): 5.8739 5.8739 5.8739 150.37 126.93 61.96
Fractional coordinates of all 4 atoms:
Ca  0.0000  0.0000  0.0000
Sc  0.5000  0.5000  0.0000
Rh  0.2669  0.2669  0.0000
Rh  0.7331  0.7331  0.0000

# 14
Material: CaSc3Rh
Method: DFT, PBE-GGA
State: relaxed

ΔE to the lowest computed polymorph   0.000 eV per atom
Magnetization   0.00 μB per cell
Electronic total energy   -5.932 eV/atom
ΔH_f (0 K)   -0.2623 eV/atom
Symmetry   Pm-3m (221)

Lattice parameters (Å, degrees): 5.1217 5.1217 5.1217 90.00 90.00 90.00
Fractional coordinates of all 5 atoms:
Ca  0.0000  0.0000  0.0000
Sc  0.0000  0.5000  0.5000
Sc  0.5000  0.0000  0.5000
Sc  0.5000  0.5000  0.0000
Rh  0.5000  0.5000  0.5000

# 15
Material: Ca2ScRh
Method: DFT, PBE-GGA
State: relaxed

ΔE to the lowest computed polymorph   0.366 eV per atom
Magnetization   0.00 μB per cell
Electronic total energy   -4.400 eV/atom
ΔH_f (0 K)   0.0215 eV/atom
Symmetry   I4/mmm (139)

Lattice parameters (Å, degrees): 5.9843 5.9843 5.9843 137.88 137.88 61.09
Fractional coordinates of all 4 atoms:
Ca  0.2500  0.7500  0.5000
Ca  0.7500  0.2500  0.5000
Sc  0.0000  0.0000  0.0000
Rh  0.5000  0.5000  0.0000

# 16
Material: CaScRh2
Method: DFT, PBE-GGA
State: relaxed

Magnetization   0.00 μB per cell
Electronic total energy   -6.025 eV/atom
ΔH_f (0 K)   -0.2661 eV/atom
Symmetry   I-42d (122)

Lattice parameters (Å, degrees): 5.9479 5.9479 5.9479 105.11 105.11 118.60
Fractional coordinates of all 8 atoms:
Ca  0.0000  0.0000  0.0000
Ca  0.7500  0.2500  0.5000
Sc  0.2500  0.7500  0.5000
Sc  0.5000  0.5000  0.0000
Rh  0.1519  0.6250  0.0269
Rh  0.3750  0.4019  0.5269
Rh  0.5981  0.1250  0.9731
Rh  0.8750  0.8481  0.4731

# 17
Material: CaScRh3
Method: DFT, PBE-GGA
State: relaxed

ΔE to the lowest computed polymorph   0.000 eV per atom
Magnetization   0.76 μB per cell
Electronic total energy   -5.922 eV/atom
ΔH_f (0 K)   0.1558 eV/atom
Symmetry   Pm-3m (221)

Lattice parameters (Å, degrees): 4.7379 4.7379 4.7379 90.00 90.00 90.00
Fractional coordinates of all 5 atoms:
Ca  0.0000  0.0000  0.0000
Sc  0.5000  0.5000  0.5000
Rh  0.0000  0.5000  0.5000
Rh  0.5000  0.0000  0.5000
Rh  0.5000  0.5000  0.0000

# 18
Material: Ca2ScRh
Method: DFT, PBE-GGA
State: relaxed

ΔE to the lowest computed polymorph   0.393 eV per atom
Magnetization   0.83 μB per cell
Electronic total energy   -4.373 eV/atom
ΔH_f (0 K)   0.0487 eV/atom
Symmetry   R-3m (166)

Lattice parameters (Å, degrees): 10.4063 10.4063 10.4063 19.13 19.13 19.13
Fractional coordinates of all 4 atoms:
Ca  0.2324  0.2324  0.2324
Ca  0.7676  0.7676  0.7676
Sc  0.0000  0.0000  0.0000
Rh  0.5000  0.5000  0.5000

# 19
Material: Ca2ScRh
Method: DFT, PBE-GGA
State: relaxed

ΔE to the lowest computed polymorph   0.447 eV per atom
Magnetization   0.00 μB per cell
Electronic total energy   -4.319 eV/atom
ΔH_f (0 K)   0.1024 eV/atom
Symmetry   Fm-3m (225)

Lattice parameters (Å, degrees): 5.1423 5.1423 5.1423 60.00 60.00 60.00
Fractional coordinates of all 4 atoms:
Ca  0.2500  0.2500  0.2500
Ca  0.7500  0.7500  0.7500
Sc  0.0000  0.0000  0.0000
Rh  0.5000  0.5000  0.5000

# 20
Material: CaScRh2
Method: DFT, PBE-GGA
State: relaxed

Magnetization   0.00 μB per cell
Electronic total energy   -6.100 eV/atom
ΔH_f (0 K)   -0.3409 eV/atom
Symmetry   Pmm2 (25)

Lattice parameters (Å, degrees): 3.1128 4.3618 5.6792 90.00 90.00 90.00
Fractional coordinates of all 4 atoms:
Ca  0.0000  0.0000  0.0000
Sc  0.5000  0.5000  0.6154
Rh  0.0000  0.0000  0.4936
Rh  0.5000  0.5000  0.1785

# 21
Material: CaScRh2
Method: DFT, PBE-GGA
State: relaxed

Magnetization   0.00 μB per cell
Electronic total energy   -6.386 eV/atom
ΔH_f (0 K)   -0.6267 eV/atom
Symmetry   P4/mmm (123)

Lattice parameters (Å, degrees): 4.7009 4.7009 3.2819 90.00 90.00 90.00
Fractional coordinates of all 4 atoms:
Ca  0.0000  0.0000  0.0000
Sc  0.5000  0.5000  0.0000
Rh  0.0000  0.5000  0.5000
Rh  0.5000  0.0000  0.5000

# 22
Material: Ca4ScRh
Method: DFT, PBE-GGA
State: relaxed

Magnetization   1.42 μB per cell
Electronic total energy   -2.932 eV/atom
ΔH_f (0 K)   0.6825 eV/atom
Symmetry   F-43m (216)

Lattice parameters (Å, degrees): 6.4032 6.4032 6.4032 60.00 60.00 60.00
Fractional coordinates of all 6 atoms:
Ca  0.1247  0.1247  0.1247
Ca  0.1247  0.1247  0.6258
Ca  0.1247  0.6258  0.1247
Ca  0.6258  0.1247  0.1247
Sc  0.5000  0.5000  0.5000
Rh  0.7500  0.7500  0.7500

# 23
Material: CaSc2Rh2
Method: DFT, PBE-GGA
State: relaxed

ΔE to the lowest computed polymorph   0.276 eV per atom
Magnetization   0.01 μB per cell
Electronic total energy   -6.279 eV/atom
ΔH_f (0 K)   -0.4055 eV/atom
Symmetry   I4/mmm (139)

Lattice parameters (Å, degrees): 6.2218 6.2218 6.2218 135.83 135.83 64.24
Fractional coordinates of all 5 atoms:
Ca  0.0000  0.0000  0.0000
Sc  0.3476  0.3476  0.0000
Sc  0.6524  0.6524  0.0000
Rh  0.2500  0.7500  0.5000
Rh  0.7500  0.2500  0.5000

# 24
Material: Ca3ScRh8
Method: DFT, PBE-GGA
State: relaxed

Magnetization   0.00 μB per cell
Electronic total energy   -6.421 eV/atom
ΔH_f (0 K)   -0.4919 eV/atom
Symmetry   R3m (160)

Lattice parameters (Å, degrees): 9.2161 9.2161 9.2161 33.47 33.47 33.47
Fractional coordinates of all 12 atoms:
Ca  0.0000  0.0000  0.0000
Ca  0.1246  0.1246  0.1246
Ca  0.6252  0.6252  0.6252
Sc  0.4993  0.4993  0.4993
Rh  0.0617  0.0617  0.5587
Rh  0.0617  0.5587  0.0617
Rh  0.0672  0.5631  0.5631
Rh  0.3126  0.3126  0.3126
Rh  0.5587  0.0617  0.0617
Rh  0.5631  0.0672  0.5631
Rh  0.5631  0.5631  0.0672
Rh  0.8127  0.8127  0.8127

# 25
Material: CaScRh2
Method: DFT, PBE-GGA
State: relaxed

Magnetization   0.00 μB per cell
Electronic total energy   -6.137 eV/atom
ΔH_f (0 K)   -0.3780 eV/atom
Symmetry   R-3m (166)

Lattice parameters (Å, degrees): 8.4785 8.4785 8.4785 22.18 22.18 22.18
Fractional coordinates of all 4 atoms:
Ca  0.0000  0.0000  0.0000
Sc  0.5000  0.5000  0.5000
Rh  0.2433  0.2433  0.2433
Rh  0.7567  0.7567  0.7567

# 26
Material: CaScRh2
Method: DFT, PBE-GGA
State: relaxed

Magnetization   0.00 μB per cell
Electronic total energy   -6.117 eV/atom
ΔH_f (0 K)   -0.3579 eV/atom
Symmetry   R3m (160)

Lattice parameters (Å, degrees): 5.8628 5.8628 5.8628 44.14 44.14 44.14
Fractional coordinates of all 4 atoms:
Ca  0.0000  0.0000  0.0000
Sc  0.1960  0.1960  0.1960
Rh  0.4518  0.4518  0.4518
Rh  0.7949  0.7949  0.7949

# 27
Material: CaScRh2
Method: DFT, PBE-GGA
State: relaxed

Magnetization   0.00 μB per cell
Electronic total energy   -6.470 eV/atom
ΔH_f (0 K)   -0.7108 eV/atom
Symmetry   P4/mmm (123)

Lattice parameters (Å, degrees): 3.2812 3.2812 6.8404 90.00 90.00 90.00
Fractional coordinates of all 4 atoms:
Ca  0.0000  0.0000  0.0000
Sc  0.0000  0.0000  0.5000
Rh  0.5000  0.5000  0.2793
Rh  0.5000  0.5000  0.7207

# 28
Material: Ca2ScRh
Method: DFT, PBE-GGA
State: relaxed

ΔE to the lowest computed polymorph   0.474 eV per atom
Magnetization   0.00 μB per cell
Electronic total energy   -4.292 eV/atom
ΔH_f (0 K)   0.1295 eV/atom
Symmetry   Cmmm (65)

Lattice parameters (Å, degrees): 5.6129 5.6129 3.4029 90.00 90.00 114.56
Fractional coordinates of all 4 atoms:
Ca  0.0000  0.5000  0.0000
Ca  0.5000  0.0000  0.0000
Sc  0.0000  0.0000  0.5000
Rh  0.5000  0.5000  0.5000